No. 1
This record from the Alexandria database describes ZnFeB3 at its PBEsol-relaxed geometry. The functional is SCAN.

a b c (Å): 3.744 3.744 3.744
angles (deg): 90.00 90.00 90.00
Fractional coordinates of all 5 atoms:
1 Zn 0.000 0.000 0.000
2 Fe 0.500 0.500 0.500
3 B 0.000 0.500 0.500
4 B 0.500 0.000 0.500
5 B 0.500 0.500 0.000

Output
energy of formation = 889 meV per atom
VASP energy = -9.898 eV/atom
size of the total moment = 0.0 μB per cell


No. 2
This record from the Alexandria database describes RbAs3N at its PBEsol-relaxed geometry. The functional is SCAN.

a b c (Å): 4.576 4.576 4.576
angles (deg): 90.00 90.00 90.00
Fractional coordinates of all 5 atoms:
1 Rb 0.000 0.000 0.000
2 As 0.000 0.500 0.500
3 As 0.500 0.000 0.500
4 As 0.500 0.500 0.000
5 N 0.500 0.500 0.500

Output
uncorrected formation energy = 0.82 eV/atom
VASP energy = -17.301 eV/atom
size of the total moment = 0.0 μB per cell


No. 3
This record from the Alexandria database describes CrOsW at its PBEsol-relaxed geometry. The functional is SCAN.

a b c (Å): 6.625 6.443 2.657
angles (deg): 82.15 74.44 23.40
Fractional coordinates of all 3 atoms:
1 Cr 0.000 0.000 0.000
2 Os 0.659 0.659 0.341
3 W 0.337 0.337 0.663

Output
energy of formation = 262 meV per atom
VASP energy = -53.056 eV/atom
size of the total moment = 0.0 μB per cell


No. 4
This record from the Alexandria database describes YSe2 at its PBEsol-relaxed geometry. The functional is SCAN.

a b c (Å): 5.317 5.317 8.423
angles (deg): 117.31 117.31 42.16
Fractional coordinates of all 6 atoms:
1 Y 0.171 0.171 0.198
2 Y 0.829 0.829 0.802
3 Se 0.131 0.131 0.525
4 Se 0.417 0.417 0.114
5 Se 0.583 0.583 0.886
6 Se 0.869 0.869 0.475

Output
uncorrected formation energy = -1.71 eV/atom
VASP energy = -24.379 eV/atom
size of the total moment = 0.0 μB per cell


No. 5
This record from the Alexandria database describes CrFeMo at its PBEsol-relaxed geometry. The functional is SCAN.

a b c (Å): 2.588 2.588 6.404
angles (deg): 90.00 90.00 120.00
Fractional coordinates of all 3 atoms:
1 Cr 0.000 0.000 0.000
2 Fe 0.333 0.667 0.712
3 Mo 0.667 0.333 0.365

Output
energy relative to the lowest polymorph listed for this composition = 0 meV/atom
energy of formation = 439 meV per atom
VASP energy = -23.361 eV/atom
size of the total moment = 0.7 μB per cell


No. 6
This record from the Alexandria database describes HOsSe2N at its PBEsol-relaxed geometry. The functional is SCAN.

a b c (Å): 4.611 4.611 2.760
angles (deg): 90.00 90.00 90.00
Fractional coordinates of all 5 atoms:
1 H 0.000 0.000 0.000
2 Os 0.500 0.500 0.500
3 Se 0.000 0.500 0.000
4 Se 0.500 0.000 0.000
5 N 0.000 0.000 0.500

Output
VASP energy = -23.517 eV/atom
size of the total moment = 0.3 μB per cell


No. 7
This record from the Alexandria database describes BaSr2Ca at its PBEsol-relaxed geometry. The functional is SCAN.

a b c (Å): 4.016 4.016 12.916
angles (deg): 90.00 90.00 107.46
Fractional coordinates of all 4 atoms:
1 Ba 0.000 0.000 0.000
2 Sr 0.000 0.000 0.516
3 Sr 0.500 0.500 0.261
4 Ca 0.500 0.500 0.755

Output
energy relative to the lowest polymorph listed for this composition = 4 meV/atom
energy of formation = 30 meV per atom
VASP energy = -23.411 eV/atom
size of the total moment = 0.0 μB per cell


No. 8
This record from the Alexandria database describes MnFeMo2 at its PBEsol-relaxed geometry. The functional is SCAN.

a b c (Å): 2.585 4.231 4.874
angles (deg): 90.00 98.94 90.00
Fractional coordinates of all 4 atoms:
1 Mn 0.000 0.000 0.000
2 Fe 0.214 0.500 0.747
3 Mo 0.493 0.000 0.515
4 Mo 0.724 0.500 0.230

Output
energy of formation = 94 meV per atom
VASP energy = -26.445 eV/atom
size of the total moment = 4.3 μB per cell


No. 9
This record from the Alexandria database describes RbHfCdRh2 at its PBEsol-relaxed geometry. The functional is SCAN.

a b c (Å): 5.018 5.018 5.063
angles (deg): 90.00 90.00 90.00
Fractional coordinates of all 5 atoms:
1 Rb 0.000 0.000 0.000
2 Hf 0.500 0.500 0.000
3 Cd 0.500 0.500 0.500
4 Rh 0.000 0.500 0.500
5 Rh 0.500 0.000 0.500

Output
energy of formation = 1379 meV per atom
VASP energy = -34.895 eV/atom
size of the total moment = 0.0 μB per cell


No. 10
This record from the Alexandria database describes KSe3 at its PBEsol-relaxed geometry. The functional is SCAN.

a b c (Å): 6.181 6.181 4.844
angles (deg): 96.22 96.22 42.08
Fractional coordinates of all 4 atoms:
1 K 0.000 0.000 0.000
2 Se 0.274 0.274 0.400
3 Se 0.500 0.500 0.500
4 Se 0.726 0.726 0.600

Output
energy relative to the lowest polymorph listed for this composition = 0 meV/atom
uncorrected formation energy = -0.54 eV/atom
VASP energy = -17.685 eV/atom
size of the total moment = 0.0 μB per cell


No. 11
This record from the Alexandria database describes MnCr2Pb at its PBEsol-relaxed geometry. The functional is SCAN.

a b c (Å): 4.659 4.659 4.659
angles (deg): 129.27 128.57 75.14
Fractional coordinates of all 4 atoms:
1 Mn 0.000 0.000 0.000
2 Cr 0.504 0.504 0.000
3 Cr 0.752 0.252 0.500
4 Pb 0.252 0.752 0.500

Output
energy of formation = 184 meV per atom
VASP energy = -32.517 eV/atom
size of the total moment = 2.9 μB per cell


No. 12
This record from the Alexandria database describes MnCr2InH at its PBEsol-relaxed geometry. The functional is SCAN.

a b c (Å): 5.270 5.270 3.497
angles (deg): 90.00 90.00 90.00
Fractional coordinates of all 5 atoms:
1 Mn 0.000 0.000 0.000
2 Cr 0.000 0.500 0.500
3 Cr 0.500 0.000 0.500
4 In 0.500 0.500 0.500
5 H 0.500 0.500 0.000

Output
VASP energy = -17.313 eV/atom
size of the total moment = 14.1 μB per cell


No. 13
This record from the Alexandria database describes Cs2AgHg2 at its PBEsol-relaxed geometry. The functional is SCAN.

a b c (Å): 7.834 7.834 5.704
angles (deg): 90.00 90.00 90.00
Fractional coordinates of all 10 atoms:
1 Cs 0.178 0.322 0.000
2 Cs 0.322 0.822 0.000
3 Cs 0.678 0.178 0.000
4 Cs 0.822 0.678 0.000
5 Ag 0.000 0.000 0.500
6 Ag 0.500 0.500 0.500
7 Hg 0.138 0.638 0.500
8 Hg 0.362 0.138 0.500
9 Hg 0.638 0.862 0.500
10 Hg 0.862 0.362 0.500

Output
energy of formation = -123 meV per atom
VASP energy = -48.787 eV/atom
size of the total moment = 0.0 μB per cell


No. 14
This record from the Alexandria database describes Cs2TbAuCl6 at its PBEsol-relaxed geometry. The functional is SCAN.

a b c (Å): 7.492 7.492 7.492
angles (deg): 60.00 60.00 60.00
Fractional coordinates of all 10 atoms:
1 Cs 0.250 0.250 0.250
2 Cs 0.750 0.750 0.750
3 Tb 0.000 0.000 0.000
4 Au 0.500 0.500 0.500
5 Cl 0.247 0.247 0.753
6 Cl 0.247 0.753 0.247
7 Cl 0.247 0.753 0.753
8 Cl 0.753 0.247 0.247
9 Cl 0.753 0.247 0.753
10 Cl 0.753 0.753 0.247

Output
uncorrected formation energy = -1.92 eV/atom
VASP energy = -25.859 eV/atom
size of the total moment = 0.0 μB per cell


No. 15
This record from the Alexandria database describes CaTaSe2 at its PBEsol-relaxed geometry. The functional is SCAN.

a b c (Å): 4.936 5.154 5.154
angles (deg): 39.89 90.00 90.00
Fractional coordinates of all 4 atoms:
1 Ca 0.000 0.000 0.000
2 Ta 0.500 0.719 0.719
3 Se 0.000 0.719 0.719
4 Se 0.500 0.430 0.430

Output
energy relative to the lowest polymorph listed for this composition = 50 meV/atom
uncorrected formation energy = -0.90 eV/atom
VASP energy = -29.999 eV/atom
size of the total moment = 0.0 μB per cell


No. 16
This record from the Alexandria database describes NiIr2Br at its PBEsol-relaxed geometry. The functional is SCAN.

a b c (Å): 4.547 4.547 4.547
angles (deg): 128.00 128.00 76.63
Fractional coordinates of all 4 atoms:
1 Ni 0.000 0.000 0.000
2 Ir 0.250 0.750 0.500
3 Ir 0.750 0.250 0.500
4 Br 0.500 0.500 0.000

Output
uncorrected formation energy = 1.14 eV/atom
VASP energy = -43.319 eV/atom
size of the total moment = 1.2 μB per cell


No. 17
This record from the Alexandria database describes CrCuP at its PBEsol-relaxed geometry. The functional is SCAN.

a b c (Å): 4.710 4.710 4.710
angles (deg): 144.53 144.53 51.04
Fractional coordinates of all 3 atoms:
1 Cr 0.000 0.000 0.000
2 Cu 0.307 0.307 0.000
3 P 0.630 0.630 0.000

Output
energy of formation = 149 meV per atom
VASP energy = -14.512 eV/atom
size of the total moment = 0.0 μB per cell


No. 18
This record from the Alexandria database describes KAlF4 at its PBEsol-relaxed geometry. The functional is SCAN.

a b c (Å): 5.040 5.040 6.174
angles (deg): 90.00 90.00 90.00
Fractional coordinates of all 12 atoms:
1 K 0.000 0.500 0.000
2 K 0.500 0.000 0.000
3 Al 0.000 0.000 0.500
4 Al 0.500 0.500 0.500
5 F 0.000 0.000 0.212
6 F 0.000 0.000 0.788
7 F 0.194 0.306 0.500
8 F 0.306 0.806 0.500
9 F 0.500 0.500 0.212
10 F 0.500 0.500 0.788
11 F 0.694 0.194 0.500
12 F 0.806 0.694 0.500

Output
uncorrected formation energy = -3.62 eV/atom
VASP energy = -8.659 eV/atom
size of the total moment = 0.0 μB per cell


No. 19
This record from the Alexandria database describes La2H2Rh at its PBEsol-relaxed geometry. The functional is SCAN.

a b c (Å): 7.027 7.027 7.027
angles (deg): 150.19 150.19 42.66
Fractional coordinates of all 5 atoms:
1 La 0.131 0.131 0.000
2 La 0.869 0.869 0.000
3 H 0.250 0.750 0.500
4 H 0.750 0.250 0.500
5 Rh 0.500 0.500 0.000

Output
VASP energy = -26.078 eV/atom
size of the total moment = 0.0 μB per cell


No. 20
This record from the Alexandria database describes RuWCl2 at its PBEsol-relaxed geometry. The functional is SCAN.

a b c (Å): 2.920 3.145 8.118
angles (deg): 90.00 90.00 90.00
Fractional coordinates of all 4 atoms:
1 Ru 0.000 0.000 0.000
2 W 0.500 0.500 0.180
3 Cl 0.000 0.500 0.410
4 Cl 0.500 0.000 0.763

Output
uncorrected formation energy = -0.22 eV/atom
VASP energy = -30.341 eV/atom
size of the total moment = 0.0 μB per cell